A relaxed CdFe2Au crystal, computed with PBE.

Unit cell a=4.814 b=4.814 c=4.814 alpha=131.09 beta=131.09 gamma=71.68
Fractional coordinates of all 4 atoms:
Au: 0.500 0.500 0.000
Cd: 0.750 0.250 0.500
Fe: 0.000 0.000 0.000
Fe: 0.250 0.750 0.500

Computed properties:
For the formation energy, the calculation gives 0.232 eV/atom. The magnetic moment comes out at 1.32 μB per atom. The total energy is -5.05 eV/atom. Its space group is No. 119.